A geometry-optimized CrCdCl2 structure, computed with GGA-PBE.

Cell and atoms, written as POSCAR:
```
CrCdCl2
1.0
5.5014 0.0000 0.0000
0.0000 3.4564 0.0000
-2.3041 0.0000 5.4059
Cr Cd Cl
1 1 2
direct
0.0000 0.0000 0.0000
0.2805 0.5000 0.7966
0.5640 0.0000 0.6346
0.9059 0.5000 0.2279
```

Summary:
magnetic moment	4.00	μB/cell
raw total energy	-16.19	eV/f.u.
space-group type	Pm (6)
Fermi-level density of states	1.849	states/eV per cell
energy relative to the elements, uncorrected	-0.491	eV/atom



A geometry-optimized Cr2CdCl structure, computed with GGA-PBE.

Cell and atoms, written as POSCAR:
```
Cr2CdCl
1.0
4.9767 0.0000 0.0000
0.0000 4.9767 0.0000
0.0000 0.0000 3.1638
Cr Cd Cl
2 1 1
direct
0.0000 0.5000 0.0000
0.5000 0.0000 0.0000
0.0000 0.0000 0.5000
0.5000 0.5000 0.5000
```

Summary:
magnetic moment	8.85	μB/cell
raw total energy	-19.79	eV/f.u.
space-group type	P4/mmm (123)
Fermi-level density of states	3.624	states/eV per cell
energy relative to the elements, uncorrected	0.555	eV/atom



A geometry-optimized CrCd4Cl structure, computed with GGA-PBE.

Cell and atoms, written as POSCAR:
```
CrCd4Cl
1.0
0.0000 4.1571 4.1571
4.1571 0.0000 4.1571
4.1571 4.1571 0.0000
Cr Cd Cl
1 4 1
direct
0.0000 0.0000 0.0000
0.1236 0.6255 0.6255
0.6255 0.1236 0.6255
0.6255 0.6255 0.1236
0.6255 0.6255 0.6255
0.2500 0.2500 0.2500
```

Summary:
magnetic moment	4.61	μB/cell
raw total energy	-13.54	eV/f.u.
space-group type	F-43m (216)
Fermi-level density of states	3.400	states/eV per cell
energy relative to the elements, uncorrected	0.265	eV/atom



What is the raw total energy in the first record?
-16.19 eV/f.u.